# Tb2Sm2Te5

A relaxed Tb2Sm2Te5 crystal (PBE, the Alexandria database).

The density is 7529 kg/m3. The space-group type is C2/m. The uncorrected formation energy is -1.24 eV per atom. For the volume, the calculation gives 277.1 Å³/cell.

abc: 8.5532 8.5532 6.5621
angles: 106.41 106.41 37.21
Last column: nearest neighbours and their distance in Å.
Atoms (fractional coordinates):
Tb  0.1939  0.1939  0.2991  8 Te 3.16-3.40
Tb  0.8061  0.8061  0.7009  8 Te 3.16-3.40
Sm  0.4096  0.4096  0.1370  8 Te 3.22-3.38
Sm  0.5904  0.5904  0.8630  8 Te 3.22-3.38
Te  0.0000  0.0000  0.0000  2 Tb 3.17, 4 Sm 3.35
Te  0.2047  0.2047  0.8205  4 Tb 3.20-3.40, 3 Sm 3.35-3.36
Te  0.3870  0.3870  0.6082  3 Tb 3.16-3.18, 3 Sm 3.22-3.38
Te  0.6130  0.6130  0.3918  3 Tb 3.16-3.18, 3 Sm 3.22-3.38
Te  0.7953  0.7953  0.1795  4 Tb 3.20-3.40, 3 Sm 3.35-3.36